No. 1
Compound: Cu2PPt
Source: the Alexandria database
Functional: PBEsol
Structure: relaxed

ΔH_f (0 K) = -78 meV/atom
DOS at the Fermi energy = 1.3 states/eV/f.u.
energy relative to the lowest polymorph listed for this composition = 0.14 eV per formula unit

```
data_Cu2PPt
_chemical_formula_sum 'Cu4 P2 Pt2'
_space_group_name_H-M_alt 'I m m 2'
_space_group_IT_number 44
_cell_length_a 3.574
_cell_length_b 3.849
_cell_length_c 7.408
_cell_angle_alpha 90.00
_cell_angle_beta 90.00
_cell_angle_gamma 90.00
loop_
_space_group_symop_operation_xyz
'x,y,z'
'-x,-y,z'
'-x,y,z'
'x,-y,z'
'x+1/2,y+1/2,z+1/2'
'-x+1/2,-y+1/2,z+1/2'
'-x+1/2,y+1/2,z+1/2'
'x+1/2,-y+1/2,z+1/2'
loop_
_atom_site_label
_atom_site_fract_x
_atom_site_fract_y
_atom_site_fract_z
Cu1 0.000 0.000 0.000
Cu2 0.000 0.500 0.224
P1 0.000 0.500 0.732
Pt1 0.000 0.000 0.460
```

***

No. 2
Compound: BiO2
Source: the Alexandria database
Functional: PBEsol
Structure: relaxed

uncorrected formation energy = -0.9438 eV per atom
DOS at the Fermi energy = 1.9 states/eV/f.u.
energy relative to the lowest polymorph listed for this composition = 0.14 eV per formula unit

```
data_BiO2
_chemical_formula_sum 'Bi4 O8'
_space_group_name_H-M_alt 'F m -3 m'
_space_group_IT_number 225
_space_group_name_Hall '-F 4 2 3'
_cell_length_a 5.444
_cell_length_b 5.444
_cell_length_c 5.444
_cell_angle_alpha 90.00
_cell_angle_beta 90.00
_cell_angle_gamma 90.00
loop_
_atom_site_label
_atom_site_fract_x
_atom_site_fract_y
_atom_site_fract_z
Bi1 0.000 0.000 0.000
O1 0.250 0.250 0.250
```

***

No. 3
Compound: CaYTe2
Source: the Alexandria database
Functional: PBEsol
Structure: relaxed

uncorrected formation energy = -1.2677 eV per atom
DOS at the Fermi energy = 2.2 states/eV/f.u.
energy relative to the lowest polymorph listed for this composition = 0.96 eV per formula unit

```
data_CaYTe2
_chemical_formula_sum 'Ca1 Y1 Te2'
_space_group_name_H-M_alt 'P 4/m m m'
_space_group_IT_number 123
_space_group_name_Hall '-P 4 2'
_cell_length_a 5.378
_cell_length_b 5.378
_cell_length_c 3.761
_cell_angle_alpha 90.00
_cell_angle_beta 90.00
_cell_angle_gamma 90.00
loop_
_atom_site_label
_atom_site_fract_x
_atom_site_fract_y
_atom_site_fract_z
Ca1 0.000 0.000 0.000
Y1 0.500 0.500 0.000
Te1 0.000 0.500 0.500
```